1.
Here is a relaxed structure of In3Fe from OQMD. Energies are from GGA-PBE.

```
data_In3Fe
_symmetry_space_group_name_H-M 'P 1'
_symmetry_Int_Tables_number 1
_cell_length_a 6.895
_cell_length_b 6.895
_cell_length_c 7.210
_cell_angle_alpha 90.00
_cell_angle_beta 90.00
_cell_angle_gamma 90.00
loop_
_symmetry_equiv_pos_as_xyz
'x,y,z'
loop_
_atom_site_label
_atom_site_type_symbol
_atom_site_fract_x
_atom_site_fract_y
_atom_site_fract_z
In1 In 0.000 0.500 0.000
In2 In 0.000 0.500 0.500
In3 In 0.156 0.156 0.239
In4 In 0.156 0.156 0.761
In5 In 0.344 0.656 0.261
In6 In 0.344 0.656 0.739
In7 In 0.500 0.000 0.000
In8 In 0.500 0.000 0.500
In9 In 0.656 0.344 0.261
In10 In 0.656 0.344 0.739
In11 In 0.844 0.844 0.239
In12 In 0.844 0.844 0.761
Fe1 Fe 0.153 0.847 0.000
Fe2 Fe 0.347 0.347 0.500
Fe3 Fe 0.653 0.653 0.500
Fe4 Fe 0.847 0.153 0.000
```

Output
Crystal system   tetragonal
Space group   P4_2/mnm, No. 136



2.
Here is a relaxed structure of Ac2BPt5 from OQMD. Energies are from GGA-PBE.

```
data_Ac2BPt5
_symmetry_space_group_name_H-M 'P 1'
_symmetry_Int_Tables_number 1
_cell_length_a 5.890
_cell_length_b 5.890
_cell_length_c 9.687
_cell_angle_alpha 90.00
_cell_angle_beta 90.00
_cell_angle_gamma 90.00
loop_
_symmetry_equiv_pos_as_xyz
'x,y,z'
loop_
_atom_site_label
_atom_site_type_symbol
_atom_site_fract_x
_atom_site_fract_y
_atom_site_fract_z
Ac1 Ac 0.000 0.500 0.000
Ac2 Ac 0.000 0.500 0.500
Ac3 Ac 0.500 0.000 0.000
Ac4 Ac 0.500 0.000 0.500
B1 B 0.000 0.000 0.172
B2 B 0.500 0.500 0.672
Pt1 Pt 0.000 0.000 0.947
Pt2 Pt 0.249 0.249 0.247
Pt3 Pt 0.249 0.751 0.247
Pt4 Pt 0.251 0.251 0.747
Pt5 Pt 0.251 0.749 0.747
Pt6 Pt 0.500 0.500 0.447
Pt7 Pt 0.749 0.251 0.747
Pt8 Pt 0.749 0.749 0.747
Pt9 Pt 0.751 0.249 0.247
Pt10 Pt 0.751 0.751 0.247
```

Output
Crystal system   tetragonal
Space group   I4mm, No. 107



These records have E values of -4.05 -6.50 eV per atom, in the order they appear.